Entry 1:
TlIBr: optimized geometry, PBE.

Geometry as CIF:
```
data_TlIBr
_chemical_formula_sum 'Tl2 I2 Br2'
_cell_length_a 7.459
_cell_length_b 4.419
_cell_length_c 8.462
_cell_angle_alpha 90.00
_cell_angle_beta 109.53
_cell_angle_gamma 90.00
_space_group_name_H-M_alt 'P 1'
_space_group_IT_number 1
_space_group_name_Hall 'P 1'
loop_
_atom_site_label
_atom_site_fract_x
_atom_site_fract_y
_atom_site_fract_z
_atom_site_occupancy
Tl1 0.000 0.000 0.000 1
Tl2 0.000 0.500 0.500 1
I1 0.273 0.000 0.336 1
I2 0.727 0.000 0.664 1
Br1 0.215 0.500 0.911 1
Br2 0.785 0.500 0.089 1
```

## Properties
- Polymorph energy (0 for the lowest one): 96 meV/atom
- Raw formation energy: -468 meV/atom
- Raw total energy: -2.33 eV/atom

Entry 2:
Tl5IBr4: optimized geometry, PBE.

Geometry as CIF:
```
data_Tl5IBr4
_chemical_formula_sum 'Tl5 I1 Br4'
_cell_length_a 8.362
_cell_length_b 8.362
_cell_length_c 11.828
_cell_angle_alpha 118.20
_cell_angle_beta 118.20
_cell_angle_gamma 33.45
_space_group_name_H-M_alt 'P 1'
_space_group_IT_number 1
_space_group_name_Hall 'P 1'
loop_
_atom_site_label
_atom_site_fract_x
_atom_site_fract_y
_atom_site_fract_z
_atom_site_occupancy
Tl1 0.000 0.000 0.000 1
Tl2 0.203 0.203 0.809 1
Tl3 0.393 0.393 0.606 1
Tl4 0.607 0.607 0.394 1
Tl5 0.797 0.797 0.191 1
I1 0.000 0.000 0.500 1
Br1 0.203 0.203 0.295 1
Br2 0.405 0.405 0.104 1
Br3 0.595 0.595 0.896 1
Br4 0.797 0.797 0.705 1
```

## Properties
- Polymorph energy (0 for the lowest one): 0 meV/atom
- Raw formation energy: -821 meV/atom
- Raw total energy: -2.83 eV/atom

Entry 3:
Tl2I2Br: optimized geometry, PBE.

Geometry as CIF:
```
data_Tl2I2Br
_chemical_formula_sum 'Tl4 I4 Br2'
_cell_length_a 9.043
_cell_length_b 9.043
_cell_length_c 10.970
_cell_angle_alpha 90.00
_cell_angle_beta 90.00
_cell_angle_gamma 152.17
_space_group_name_H-M_alt 'P 1'
_space_group_IT_number 1
_space_group_name_Hall 'P 1'
loop_
_atom_site_label
_atom_site_fract_x
_atom_site_fract_y
_atom_site_fract_z
_atom_site_occupancy
Tl1 0.002 0.998 0.500 1
Tl2 0.192 0.808 0.244 1
Tl3 0.808 0.192 0.744 1
Tl4 0.998 0.002 0.000 1
I1 0.170 0.830 0.919 1
I2 0.349 0.651 0.009 1
I3 0.651 0.349 0.509 1
I4 0.830 0.170 0.419 1
Br1 0.451 0.549 0.695 1
Br2 0.549 0.451 0.195 1
```

## Properties
- Polymorph energy (0 for the lowest one): 0 meV/atom
- Raw formation energy: -471 meV/atom
- Raw total energy: -2.37 eV/atom

Entry 4:
Tl3IBr: optimized geometry, PBE.

Geometry as CIF:
```
data_Tl3IBr
_chemical_formula_sum 'Tl3 I1 Br1'
_cell_length_a 6.191
_cell_length_b 6.191
_cell_length_c 6.191
_cell_angle_alpha 90.00
_cell_angle_beta 90.00
_cell_angle_gamma 90.00
_space_group_name_H-M_alt 'P 1'
_space_group_IT_number 1
_space_group_name_Hall 'P 1'
loop_
_atom_site_label
_atom_site_fract_x
_atom_site_fract_y
_atom_site_fract_z
_atom_site_occupancy
Tl1 0.000 0.000 0.500 1
Tl2 0.000 0.500 0.000 1
Tl3 0.500 0.000 0.000 1
I1 0.500 0.500 0.500 1
Br1 0.000 0.000 0.000 1
```

## Properties
- Polymorph energy (0 for the lowest one): 0 meV/atom
- Raw formation energy: -276 meV/atom
- Raw total energy: -2.34 eV/atom

Which of these has the highest raw formation energy?
Tl3IBr